Below is crystalline Pb7SBr12 at its relaxed geometry, with properties calculated at the PBE level.

Cell: 9.7595 9.7595 9.7595 Å, 106.94 106.94 106.94°
Closest atoms and distances in Å follow each position.
Atoms (fractional coordinates):
Pb: 0.0000 0.0000 0.0000  6 Br 3.07
Pb: 0.1597 0.3843 0.4706  5 Br 3.01-3.09, 1 S 3.07
Pb: 0.3843 0.4706 0.1597  5 Br 3.01-3.09, 1 S 3.07
Pb: 0.4706 0.1597 0.3843  5 Br 3.01-3.09, 1 S 3.07
Pb: 0.5294 0.8403 0.6157  5 Br 3.01-3.09, 1 S 3.07
Pb: 0.6157 0.5294 0.8403  5 Br 3.01-3.09, 1 S 3.07
Pb: 0.8403 0.6157 0.5294  5 Br 3.01-3.09, 1 S 3.07
S: 0.5000 0.5000 0.5000  6 Pb 3.07
Br: 0.0435 0.3438 0.1318  3 Pb 3.03-3.09
Br: 0.1318 0.0435 0.3438  3 Pb 3.03-3.09
Br: 0.1824 0.7152 0.5663  3 Pb 3.01-3.08
Br: 0.2848 0.4337 0.8176  3 Pb 3.01-3.08
Br: 0.3438 0.1318 0.0435  3 Pb 3.03-3.09
Br: 0.4337 0.8176 0.2848  3 Pb 3.01-3.08
Br: 0.5663 0.1824 0.7152  3 Pb 3.01-3.08
Br: 0.6562 0.8682 0.9565  3 Pb 3.03-3.09
Br: 0.7152 0.5663 0.1824  3 Pb 3.01-3.08
Br: 0.8176 0.2848 0.4337  3 Pb 3.01-3.08
Br: 0.8682 0.9565 0.6562  3 Pb 3.03-3.09
Br: 0.9565 0.6562 0.8682  3 Pb 3.03-3.09

Results
- Mass density: 5.2 g/cm3
- Total DFT energy (no corrections): -67.37 eV per cell
- ΔE_f (raw): -19.84 kcal/mol of atoms

Below is crystalline Pb2SBr2 at its relaxed geometry, with properties calculated at the PBE level.

Cell: 11.2805 7.9772 7.6548 Å, 90.00 90.00 90.00°
Closest atoms and distances in Å follow each position.
Atoms (fractional coordinates):
Pb: 0.0956 0.2168 0.0268  2 S 2.81-2.82, 2 Br 3.10-3.13
Pb: 0.0956 0.7832 0.5268  2 S 2.81-2.82, 2 Br 3.10-3.13
Pb: 0.4044 0.2832 0.5268  2 S 2.81-2.82, 2 Br 3.10-3.13
Pb: 0.4044 0.7168 0.0268  2 S 2.81-2.82, 2 Br 3.10-3.13
Pb: 0.5956 0.2832 0.9732  2 S 2.81-2.82, 2 Br 3.10-3.13
Pb: 0.5956 0.7168 0.4732  2 S 2.81-2.82, 2 Br 3.10-3.13
Pb: 0.9044 0.2168 0.4732  2 S 2.81-2.82, 2 Br 3.10-3.13
Pb: 0.9044 0.7832 0.9732  2 S 2.81-2.82, 2 Br 3.10-3.13
S: 0.0000 0.0295 0.7500  4 Pb 2.81-2.82
S: 0.0000 0.9705 0.2500  4 Pb 2.81-2.82
S: 0.5000 0.4705 0.2500  4 Pb 2.81-2.82
S: 0.5000 0.5295 0.7500  4 Pb 2.81-2.82
Br: 0.1481 0.3861 0.4122  4 Pb 3.10-3.34
Br: 0.1481 0.6139 0.9122  4 Pb 3.10-3.34
Br: 0.3519 0.1139 0.9122  4 Pb 3.10-3.34
Br: 0.3519 0.8861 0.4122  4 Pb 3.10-3.34
Br: 0.6481 0.1139 0.5878  4 Pb 3.10-3.34
Br: 0.6481 0.8861 0.0878  4 Pb 3.10-3.34
Br: 0.8519 0.3861 0.0878  4 Pb 3.10-3.34
Br: 0.8519 0.6139 0.5878  4 Pb 3.10-3.34

Results
- Mass density: 5.8 g/cm3
- Total DFT energy (no corrections): -74.54 eV per cell
- ΔE_f (raw): -17.27 kcal/mol of atoms
- Relative energy among the computed polymorphs: 0 meV/atom

Below is crystalline Pb2SBr at its relaxed geometry, with properties calculated at the PBE level.

Cell: 11.2470 11.2470 7.1919 Å, 101.32 101.32 138.24°
Closest atoms and distances in Å follow each position.
Atoms (fractional coordinates):
Pb: 0.0392 0.4152 0.7718  2 S 2.76-2.92
Pb: 0.1527 0.2930 0.1505  2 S 2.74-2.79
Pb: 0.2930 0.1527 0.6505  2 S 2.74-2.79
Pb: 0.4152 0.0392 0.2718  2 S 2.76-2.92
Pb: 0.5848 0.9608 0.7282  2 S 2.76-2.92
Pb: 0.7070 0.8473 0.3495  2 S 2.74-2.79
Pb: 0.8473 0.7070 0.8495  2 S 2.74-2.79
Pb: 0.9608 0.5848 0.2282  2 S 2.76-2.92
S: 0.0037 0.9963 0.2500  4 Pb 2.74-2.79
S: 0.2900 0.7100 0.2500  4 Pb 2.76-2.92
S: 0.7100 0.2900 0.7500  4 Pb 2.76-2.92
S: 0.9963 0.0037 0.7500  4 Pb 2.74-2.79
Br: 0.1784 0.8216 0.7500  4 Pb 3.15-3.21
Br: 0.4459 0.5541 0.7500  6 Pb 3.24-3.62
Br: 0.5541 0.4459 0.2500  6 Pb 3.24-3.62
Br: 0.8216 0.1784 0.2500  4 Pb 3.15-3.21

Results
- Mass density: 6.9 g/cm3
- Total DFT energy (no corrections): -60.40 eV per cell
- ΔE_f (raw): -10.86 kcal/mol of atoms
- Relative energy among the computed polymorphs: 18 meV/atom

Below is crystalline PbSBr at its relaxed geometry, with properties calculated at the PBE level.

Cell: 4.8618 6.6336 7.1462 Å, 103.07 106.64 101.70°
Closest atoms and distances in Å follow each position.
Atoms (fractional coordinates):
Pb: 0.0000 0.0000 0.0000  2 S 2.70-2.75, 1 Br 3.01
Pb: 0.3202 0.4201 0.6043  2 S 2.93-2.99, 3 Br 3.01-3.25
S: 0.1339 0.9830 0.6556  1 S 2.08
S: 0.5097 0.8821 0.6467  1 S 2.08
Br: 0.0250 0.5399 0.9220  3 Pb 3.01-3.34
Br: 0.6950 0.3125 0.3026  3 Pb 3.01-3.37

Results
- Mass density: 5.1 g/cm3
- Total DFT energy (no corrections): -22.20 eV per cell
- ΔE_f (raw): -12.23 kcal/mol of atoms
- Relative energy among the computed polymorphs: 83 meV/atom

Below is crystalline PbSBr at its relaxed geometry, with properties calculated at the PBE level.

Cell: 5.1728 5.2162 8.8346 Å, 75.17 75.30 62.09°
Closest atoms and distances in Å follow each position.
Atoms (fractional coordinates):
Pb: 0.0000 0.0000 0.0000  1 S 2.92, 4 Br 2.98-3.27
Pb: 0.4467 0.4485 0.4686  3 S 2.79-2.90
S: 0.7361 0.7371 0.5307  1 S 2.10
S: 0.9447 0.9482 0.3426  1 S 2.10
Br: 0.3998 0.3918 0.8377  4 Pb 3.16-3.39, 1 S 3.42
Br: 0.6529 0.6457 0.0993  4 Pb 2.98-3.23

Results
- Mass density: 5.3 g/cm3
- Total DFT energy (no corrections): -22.11 eV per cell
- ΔE_f (raw): -11.89 kcal/mol of atoms
- Relative energy among the computed polymorphs: 97 meV/atom

Below is crystalline PbS3Br3 at its relaxed geometry, with properties calculated at the PBE level.

Cell: 8.3662 8.3678 8.7759 Å, 61.63 61.55 60.01°
Closest atoms and distances in Å follow each position.
Atoms (fractional coordinates):
Pb: 0.1634 0.1634 0.0098  6 Br 3.08-3.10
Pb: 0.8366 0.8366 0.9902  6 Br 3.08-3.10
S: 0.2616 0.5241 0.2160  2 S 2.10
S: 0.4766 0.5007 0.7839  2 S 2.10
S: 0.4986 0.2622 0.2161  2 S 2.10
S: 0.5014 0.7378 0.7839  2 S 2.10
S: 0.5234 0.4993 0.2161  2 S 2.10
S: 0.7384 0.4759 0.7840  2 S 2.10
Br: 0.0500 0.5796 0.7414  1 S 2.95, 2 Pb 3.08-3.10
Br: 0.1287 0.0494 0.7415  1 S 2.95, 2 Pb 3.08-3.10
Br: 0.4197 0.8719 0.2586  1 S 2.95, 2 Pb 3.08-3.10
Br: 0.5803 0.1281 0.7414  1 S 2.95, 2 Pb 3.08-3.10
Br: 0.8713 0.9506 0.2585  1 S 2.95, 2 Pb 3.08-3.10
Br: 0.9500 0.4204 0.2586  1 S 2.95, 2 Pb 3.08-3.10

Results
- Mass density: 4.1 g/cm3
- Total DFT energy (no corrections): -45.03 eV per cell
- ΔE_f (raw): -4.64 kcal/mol of atoms

Below is crystalline Pb2SBr at its relaxed geometry, with properties calculated at the PBE level.

Cell: 8.9110 8.9110 8.9110 Å, 25.68 25.68 25.68°
Closest atoms and distances in Å follow each position.
Atoms (fractional coordinates):
Pb: 0.0000 0.0000 0.0000  3 S 3.02, 3 Br 3.37
Pb: 0.1873 0.1873 0.1873  3 S 2.91
S: 0.5901 0.5901 0.5901  6 Pb 2.91-3.02
Br: 0.7626 0.7626 0.7626  6 Pb 3.29-3.37

Results
- Mass density: 7.5 g/cm3
- Total DFT energy (no corrections): -15.14 eV per cell
- ΔE_f (raw): -11.07 kcal/mol of atoms
- Relative energy among the computed polymorphs: 10 meV/atom

Below is crystalline PbSBr at its relaxed geometry, with properties calculated at the PBE level.

Cell: 5.8142 5.8142 8.3984 Å, 101.94 101.94 42.76°
Closest atoms and distances in Å follow each position.
Atoms (fractional coordinates):
Pb: 0.0000 0.0000 0.0000  2 S 2.82, 1 Br 2.94
Pb: 0.2121 0.2121 0.5513  2 S 2.88, 1 Br 2.96
S: 0.4608 0.4608 0.2037  1 S 2.10
S: 0.6546 0.6546 0.3145  1 S 2.10
Br: 0.7245 0.7245 0.8723  1 Pb 2.94
Br: 0.9477 0.9477 0.5912  3 Pb 2.96-3.28

Results
- Mass density: 5.6 g/cm3
- Total DFT energy (no corrections): -22.42 eV per cell
- ΔE_f (raw): -13.06 kcal/mol of atoms
- Relative energy among the computed polymorphs: 47 meV/atom

Below is crystalline PbSBr at its relaxed geometry, with properties calculated at the PBE level.

Cell: 5.3575 5.3575 8.3762 Å, 94.27 94.27 51.84°
Closest atoms and distances in Å follow each position.
Atoms (fractional coordinates):
Pb: 0.1782 0.1782 0.2663  3 S 2.98-3.00, 3 Br 3.12-3.13
Pb: 0.8218 0.8218 0.7337  3 S 2.98-3.00, 3 Br 3.12-3.13
S: 0.3999 0.3999 0.5366  1 S 2.07
S: 0.6001 0.6001 0.4634  1 S 2.07
Br: 0.1394 0.1394 0.8465  3 Pb 3.12-3.13
Br: 0.8606 0.8606 0.1535  3 Pb 3.12-3.13

Results
- Mass density: 5.6 g/cm3
- Total DFT energy (no corrections): -22.70 eV per cell
- ΔE_f (raw): -14.14 kcal/mol of atoms
- Relative energy among the computed polymorphs: 0 meV/atom

Below is crystalline PbSBr3 at its relaxed geometry, with properties calculated at the PBE level.

Cell: 5.8027 5.8027 5.8027 Å, 90.00 90.00 90.00°
Closest atoms and distances in Å follow each position.
Atoms (fractional coordinates):
Pb: 0.0000 0.0000 0.0000  6 Br 2.90
S: 0.5000 0.5000 0.5000  12 Br 4.10
Br: 0.0000 0.0000 0.5000  2 Pb 2.90
Br: 0.0000 0.5000 0.0000  2 Pb 2.90
Br: 0.5000 0.0000 0.0000  2 Pb 2.90

Results
- Mass density: 4.1 g/cm3
- Total DFT energy (no corrections): -12.15 eV per cell
- ΔE_f (raw): 3.23 kcal/mol of atoms
- Relative energy among the computed polymorphs: 90 meV/atom

Below is crystalline Pb3SBr at its relaxed geometry, with properties calculated at the PBE level.

Cell: 5.6346 5.6346 5.6346 Å, 90.00 90.00 90.00°
Closest atoms and distances in Å follow each position.
Atoms (fractional coordinates):
Pb: 0.0000 0.0000 0.5000  2 S 2.82
Pb: 0.0000 0.5000 0.0000  2 S 2.82
Pb: 0.5000 0.0000 0.0000  2 S 2.82
S: 0.0000 0.0000 0.0000  6 Pb 2.82
Br: 0.5000 0.5000 0.5000  12 Pb 3.98

Results
- Mass density: 6.8 g/cm3
- Total DFT energy (no corrections): -16.76 eV per cell
- ΔE_f (raw): 0.74 kcal/mol of atoms
- Relative energy among the computed polymorphs: 0 meV/atom

Below is crystalline PbS3Br at its relaxed geometry, with properties calculated at the PBE level.

Cell: 5.3078 5.3078 5.3078 Å, 90.00 90.00 90.00°
Closest atoms and distances in Å follow each position.
Atoms (fractional coordinates):
Pb: 0.0000 0.0000 0.0000  6 S 2.65
S: 0.0000 0.0000 0.5000  2 Pb 2.65
S: 0.0000 0.5000 0.0000  2 Pb 2.65
S: 0.5000 0.0000 0.0000  2 Pb 2.65
Br: 0.5000 0.5000 0.5000  12 S 3.75

Results
- Mass density: 4.3 g/cm3
- Total DFT energy (no corrections): -13.65 eV per cell
- ΔE_f (raw): 18.98 kcal/mol of atoms
- Relative energy among the computed polymorphs: 1038 meV/atom

Below is crystalline PbSBr at its relaxed geometry, with properties calculated at the PBE level.

Cell: 4.0834 4.0834 6.3620 Å, 90.00 90.00 120.00°
Closest atoms and distances in Å follow each position.
Atoms (fractional coordinates):
Pb: 0.0000 0.0000 0.0000  3 S 2.75
S: 0.6667 0.3333 0.2223  3 Pb 2.75
Br: 0.3333 0.6667 0.6854  3 Pb 3.09

Results
- Mass density: 5.8 g/cm3
- Total DFT energy (no corrections): -10.48 eV per cell
- ΔE_f (raw): -7.43 kcal/mol of atoms
- Relative energy among the computed polymorphs: 291 meV/atom

Below is crystalline PbS4Br at its relaxed geometry, with properties calculated at the PBE level.

Cell: 3.6648 10.8105 11.0465 Å, 62.62 81.32 81.23°
Closest atoms and distances in Å follow each position.
Atoms (fractional coordinates):
Pb: 0.0233 0.2220 0.2259  2 Br 2.89, 4 S 3.06-3.07
Pb: 0.9767 0.7780 0.7741  2 Br 2.89, 4 S 3.06-3.07
S: 0.1883 0.3223 0.7472  1 S 1.96
S: 0.2116 0.6452 0.3666  1 S 1.96
S: 0.4647 0.1016 0.4769  1 S 2.00
S: 0.4647 0.4787 0.0987  1 S 1.99
S: 0.5353 0.5213 0.9013  1 S 1.99
S: 0.5353 0.8984 0.5231  1 S 2.00
S: 0.7884 0.3548 0.6334  1 S 1.96
S: 0.8117 0.6777 0.2528  1 S 1.96
Br: 0.3667 0.9035 0.8925  2 Pb 2.89
Br: 0.6333 0.0965 0.1075  2 Pb 2.89

Results
- Mass density: 3.6 g/cm3
- Total DFT energy (no corrections): -44.43 eV per cell
- ΔE_f (raw): -1.25 kcal/mol of atoms

Below is crystalline PbSBr at its relaxed geometry, with properties calculated at the PBE level.

Cell: 6.8355 6.8355 4.1418 Å, 107.26 107.26 92.66°
Closest atoms and distances in Å follow each position.
Atoms (fractional coordinates):
Pb: 0.2258 0.2258 0.2362  2 S 2.93-2.96, 3 Br 3.11-3.21
Pb: 0.7742 0.7742 0.7638  2 S 2.93-2.96, 3 Br 3.11-3.21
S: 0.6859 0.0700 0.3718  1 S 2.08
S: 0.9300 0.3141 0.6282  1 S 2.08
Br: 0.1624 0.8376 0.5000  4 Pb 3.21-3.29
Br: 0.4854 0.5146 0.0000  4 Pb 3.11-3.14

Results
- Mass density: 6.1 g/cm3
- Total DFT energy (no corrections): -22.26 eV per cell
- ΔE_f (raw): -12.44 kcal/mol of atoms
- Relative energy among the computed polymorphs: 74 meV/atom

Below is crystalline Pb2SBr at its relaxed geometry, with properties calculated at the PBE level.

Cell: 8.8859 8.8859 8.8859 Å, 25.75 25.75 25.75°
Closest atoms and distances in Å follow each position.
Atoms (fractional coordinates):
Pb: 0.2400 0.2400 0.2400  3 S 2.97, 3 Br 3.32
Pb: 0.7600 0.7600 0.7600  3 S 2.97, 3 Br 3.32
S: 0.5000 0.5000 0.5000  6 Pb 2.97
Br: 0.0000 0.0000 0.0000  6 Pb 3.32

Results
- Mass density: 7.5 g/cm3
- Total DFT energy (no corrections): -15.17 eV per cell
- ΔE_f (raw): -11.29 kcal/mol of atoms
- Relative energy among the computed polymorphs: 0 meV/atom

Below is crystalline PbS3Br at its relaxed geometry, with properties calculated at the PBE level.

Cell: 4.9394 4.9394 4.9394 Å, 90.00 90.00 90.00°
Closest atoms and distances in Å follow each position.
Atoms (fractional coordinates):
Pb: 0.0000 0.0000 0.0000  12 S 3.49
S: 0.0000 0.5000 0.5000  2 Br 2.47
S: 0.5000 0.0000 0.5000  2 Br 2.47
S: 0.5000 0.5000 0.0000  2 Br 2.47
Br: 0.5000 0.5000 0.5000  6 S 2.47

Results
- Mass density: 5.3 g/cm3
- Total DFT energy (no corrections): -14.92 eV per cell
- ΔE_f (raw): 13.12 kcal/mol of atoms
- Relative energy among the computed polymorphs: 784 meV/atom

Below is crystalline PbS3Br at its relaxed geometry, with properties calculated at the PBE level.

Cell: 6.7670 7.5047 6.6331 Å, 90.00 90.00 90.00°
Closest atoms and distances in Å follow each position.
Atoms (fractional coordinates):
Pb: 0.0000 0.0064 0.0000  1 Br 2.76, 4 S 2.97-3.07
Pb: 0.5000 0.9936 0.5000  1 Br 2.76, 4 S 2.97-3.07
S: 0.0000 0.2549 0.4664  2 S 2.01
S: 0.2376 0.2470 0.2852  1 S 2.01
S: 0.2624 0.7530 0.7852  1 S 2.01
S: 0.5000 0.7451 0.9664  2 S 2.01
S: 0.7376 0.7530 0.7852  1 S 2.01
S: 0.7624 0.2470 0.2852  1 S 2.01
Br: 0.0000 0.7734 0.3223  1 Pb 2.76
Br: 0.5000 0.2266 0.8223  1 Pb 2.76

Results
- Mass density: 3.8 g/cm3
- Total DFT energy (no corrections): -37.68 eV per cell
- ΔE_f (raw): -4.96 kcal/mol of atoms
- Relative energy among the computed polymorphs: 0 meV/atom

Below is crystalline Pb3S2Br2 at its relaxed geometry, with properties calculated at the PBE level.

Cell: 8.1175 8.1175 7.8985 Å, 109.61 109.61 30.96°
Closest atoms and distances in Å follow each position.
Atoms (fractional coordinates):
Pb: 0.0000 0.0000 0.0000  2 S 2.92, 4 Br 3.08
Pb: 0.2364 0.2364 0.7083  3 S 2.79-2.80
Pb: 0.7636 0.7636 0.2917  3 S 2.79-2.80
S: 0.1599 0.1599 0.3314  4 Pb 2.79-2.92
S: 0.8401 0.8401 0.6686  4 Pb 2.79-2.92
Br: 0.3996 0.3996 0.1367  2 Pb 3.08
Br: 0.6004 0.6004 0.8633  2 Pb 3.08

Results
- Mass density: 5.6 g/cm3
- Total DFT energy (no corrections): -27.46 eV per cell
- ΔE_f (raw): -15.60 kcal/mol of atoms
- Relative energy among the computed polymorphs: 20 meV/atom

Below is crystalline PbSBr at its relaxed geometry, with properties calculated at the PBE level.

Cell: 4.0946 4.0946 6.6373 Å, 107.69 107.69 60.05°
Closest atoms and distances in Å follow each position.
Atoms (fractional coordinates):
Pb: 0.0000 0.0000 0.0000  3 S 2.75
S: 0.7409 0.7409 0.2262  3 Pb 2.75
Br: 0.2277 0.2277 0.6779  3 Pb 3.10

Results
- Mass density: 5.9 g/cm3
- Total DFT energy (no corrections): -10.50 eV per cell
- ΔE_f (raw): -7.60 kcal/mol of atoms
- Relative energy among the computed polymorphs: 284 meV/atom